Entry 1:
First-principles (SCAN) data for a PBEsol-optimized structure of Zr2CrAg, as listed in Alexandria.

Computed properties:
As for the uncorrected energy: -27.671 eV/atom. The space-group type is Cm, No. 8. For the energy above the most stable polymorph in this dataset, the calculation gives 31 meV/atom. The density of states at the Fermi level is 0.977 states/eV per atom.

The structure in extended XYZ format:
```
4
Lattice="-2.123 1.837 1.430 -3.365 -3.211 -0.871 3.715 -1.505 3.977" Properties=species:S:1:pos:R:3 pbc="T T T"
Zr -0.568 -0.199 2.882
Zr -1.817 -2.772 4.332
Ag -2.698 -0.784 0.472
Cr -1.206 -2.692 1.668
```

Entry 2:
First-principles (SCAN) data for a PBEsol-optimized structure of ScZnPt, as listed in Alexandria.

Computed properties:
As for the uncorrected energy: -33.764 eV/atom. The space-group type is Cmcm, No. 63. The density of states at the Fermi level is 0.467 states/eV per atom.

The structure in extended XYZ format:
```
6
Lattice="4.226 0.000 0.000 -2.113 4.564 0.000 0.000 0.000 5.197" Properties=species:S:1:pos:R:3 pbc="T T T"
Pt 0.000 3.664 3.898
Pt 2.113 0.900 1.299
Zn 0.000 0.000 0.000
Zn 0.000 0.000 2.599
Sc 2.113 1.918 3.898
Sc 0.000 2.646 1.299
```

Entry 3:
First-principles (SCAN) data for a PBEsol-optimized structure of LiSbF4, as listed in Alexandria.

Computed properties:
As for the uncorrected energy: -11.639 eV/atom. The space-group type is P2_13, No. 198. The density of states at the Fermi level is 0.000 states/eV per atom.

The structure in extended XYZ format:
```
24
Lattice="-3.355 3.550 4.756 3.478 -3.251 4.880 4.809 4.828 -0.211" Properties=species:S:1:pos:R:3 pbc="T T T"
Li 3.943 -0.509 4.789
Li 3.469 4.665 2.223
Li -0.836 2.679 5.556
Li 3.288 3.417 6.283
F 1.842 4.396 5.717
F 4.808 0.864 3.932
F 0.174 1.262 6.140
F 2.726 1.723 6.709
F 1.097 2.624 1.628
F 2.110 -0.198 4.803
F 6.750 1.969 5.365
F 3.787 2.835 2.276
F 4.505 3.312 4.914
F 2.468 0.405 2.117
F 0.954 1.471 8.669
F 2.265 6.922 5.018
F -0.098 3.392 4.006
F 1.936 5.065 3.150
F 4.064 4.224 7.767
F 0.064 0.743 3.191
Sb 1.501 0.243 7.209
Sb 0.771 5.672 4.638
Sb 1.737 1.805 3.319
Sb 5.855 2.532 3.685
```

Entry 4:
First-principles (SCAN) data for a PBEsol-optimized structure of Nb2C, as listed in Alexandria.

Computed properties:
As for the uncorrected energy: -25.971 eV/atom. The space-group type is Pnma, No. 62. The density of states at the Fermi level is 0.255 states/eV per atom.

The structure in extended XYZ format:
```
12
Lattice="3.085 0.000 0.000 0.000 4.962 0.000 0.000 0.000 10.916" Properties=species:S:1:pos:R:3 pbc="T T T"
C 0.771 2.524 9.553
C 2.314 0.043 6.821
C 2.314 2.438 1.363
C 0.771 4.919 4.095
Nb 0.771 3.738 5.952
Nb 2.314 1.224 4.964
Nb 2.314 3.793 8.693
Nb 2.314 3.650 3.235
Nb 0.771 1.169 2.223
Nb 2.314 1.257 10.422
Nb 0.771 1.312 7.681
Nb 0.771 3.705 0.494
```